Below is a geometry-optimized La4GaTe2Cl structure, with properties calculated at the PBE level.

Results
total moment	0.000	μB per formula unit
E_form (uncorrected)	-1.346	eV per atom
symmetry	P2/m, No. 10
VASP energy	-5.20	eV/atom

Cell and atoms, written as CIF:
```
data_La4GaTe2Cl
_cell_length_a 4.4665
_cell_length_b 7.8640
_cell_length_c 7.6078
_cell_angle_alpha 70.72
_cell_angle_beta 90.00
_cell_angle_gamma 90.00
_symmetry_space_group_name_H-M 'P 1'
_symmetry_Int_Tables_number 1
_symmetry_space_group_name_Hall 'P 1'
loop_
_atom_site_label
_atom_site_fract_x
_atom_site_fract_y
_atom_site_fract_z
Cl1 0.5000 0.5000 0.0000
Te1 0.5000 0.0000 0.5000
Te2 0.0000 0.0000 0.0000
La1 0.5000 0.7300 0.2609
La2 0.0000 0.7323 0.7482
La3 0.5000 0.2700 0.7391
La4 0.0000 0.2677 0.2518
Ga1 0.0000 0.5000 0.5000
```